Entry 1:
The following is a DFT calculation (PBE-GGA) of a relaxed ZrBe2Tl crystal.

It has space group Pmmm (No. 47), with a = 3.1495 Å, b = 3.9806 Å, c = 5.4493 Å, α = 90.00°, β = 90.00° and γ = 90.00°. The inequivalent atoms are Zr at (0.0000, 0.0000, 0.0000), Be at (0.5000, 0.5000, 0.1944) and Tl at (0.5000, 0.0000, 0.5000).

The value obtained for the formation energy is 0.20 eV per atom. For the density of states at the Fermi level, the calculation gives 2.23 states/eV/f.u. The value obtained for the final energy is -17.565 eV for the cell shown. As for the energy above the most stable polymorph in this dataset: 175 meV/atom.

Entry 2:
The following is a DFT calculation (PBE-GGA) of a relaxed ZrBe2Tl crystal.

It has space group Cmmm (No. 65), with a = 4.2699 Å, b = 4.9925 Å, c = 6.3066 Å, α = 90.00°, β = 90.00° and γ = 90.00°. The inequivalent atoms are Zr at (0.0000, 0.0000, 0.0000), Be at (0.0000, 0.5000, 0.2437) and Tl at (0.0000, 0.0000, 0.5000).

The value obtained for the formation energy is 0.35 eV per atom. For the density of states at the Fermi level, the calculation gives 2.23 states/eV/f.u. The value obtained for the final energy is -33.920 eV for the cell shown. As for the energy above the most stable polymorph in this dataset: 326 meV/atom.

Entry 3:
The following is a DFT calculation (PBE-GGA) of a relaxed ZrBeTl2 crystal.

It has space group Imm2 (No. 44), with a = 3.5604 Å, b = 4.5226 Å, c = 10.5823 Å, α = 90.00°, β = 90.00° and γ = 90.00°. The inequivalent atoms are Zr at (0.0000, 0.0000, 0.0000), Be at (0.0000, 0.5000, 0.6974), Tl at (0.0000, 0.0000, 0.4113) and Tl at (0.0000, 0.5000, 0.2035).

The value obtained for the formation energy is 0.31 eV per atom. For the density of states at the Fermi level, the calculation gives 2.16 states/eV/f.u. The value obtained for the final energy is -31.495 eV for the cell shown. As for the energy above the most stable polymorph in this dataset: 69 meV/atom.

Entry 4:
The following is a DFT calculation (PBE-GGA) of a relaxed ZrBe2Tl crystal.

It has space group I-4m2 (No. 119), with a = 3.8966 Å, b = 3.8966 Å, c = 8.8650 Å, α = 90.00°, β = 90.00° and γ = 90.00°. The inequivalent atoms are Zr at (0.0000, 0.0000, 0.0000), Be at (0.0000, 0.0000, 0.5000), Be at (0.0000, 0.5000, 0.7500) and Tl at (0.0000, 0.5000, 0.2500).

The value obtained for the formation energy is 0.40 eV per atom. For the density of states at the Fermi level, the calculation gives 2.50 states/eV/f.u. The value obtained for the final energy is -33.519 eV for the cell shown. As for the energy above the most stable polymorph in this dataset: 376 meV/atom.

Entry 5:
The following is a DFT calculation (PBE-GGA) of a relaxed ZrBeTl2 crystal.

It has space group R-3m (No. 166, hexagonal axes), with a = 3.2539 Å, b = 3.2539 Å, c = 27.8028 Å, α = 90.00°, β = 90.00° and γ = 120.00°. The inequivalent atoms are Zr at (0.0000, 0.0000, 0.0000), Be at (0.0000, 0.0000, 0.5000) and Tl at (0.0000, 0.0000, 0.2389).

The value obtained for the formation energy is 0.39 eV per atom. For the density of states at the Fermi level, the calculation gives 3.05 states/eV/f.u. The value obtained for the final energy is -46.307 eV for the cell shown. As for the energy above the most stable polymorph in this dataset: 147 meV/atom.

Entry 6:
The following is a DFT calculation (PBE-GGA) of a relaxed ZrBe3Tl crystal.

It has space group Pm-3m (No. 221), with a = 4.4361 Å, b = 4.4361 Å, c = 4.4361 Å, α = 90.00°, β = 90.00° and γ = 90.00°. The inequivalent atoms are Zr at (0.0000, 0.0000, 0.0000), Be at (0.0000, 0.5000, 0.5000) and Tl at (0.5000, 0.5000, 0.5000).

The value obtained for the formation energy is 1.09 eV per atom. For the density of states at the Fermi level, the calculation gives 2.37 states/eV/f.u. The value obtained for the final energy is -16.641 eV for the cell shown. As for the energy above the most stable polymorph in this dataset: 0 meV/atom.

- The lowest density of states at the Fermi level belongs to which entry?
  number 3

- density of states at the Fermi level of number 4 (ZrBe2Tl)?
  2.50 states/eV/f.u.

- What is the final energy in the third record?
  -31.495 eV for the cell shown

- Look up the density of states at the Fermi level of the first one.
  2.23 states/eV/f.u.